# 1
Entry from Alexandria via LeMat-Bulk: a relaxed Pa2BiTe2N crystal (PBE).

Unit cell a=8.5311 b=8.5311 c=8.5311 alpha=124.97 beta=70.77 gamma=139.12
Positions (direct):
1 Pa 0.0927 0.1544 0.2472
2 Pa 0.4073 0.6544 0.0617
3 Pa 0.5927 0.3456 0.9383
4 Pa 0.9073 0.8456 0.7528
5 Bi 0.2500 0.7500 0.5000
6 Bi 0.7500 0.2500 0.5000
7 Te 0.1955 0.8172 0.0127
8 Te 0.3045 0.3172 0.6216
9 Te 0.6955 0.6828 0.3784
10 Te 0.8045 0.1828 0.9873
11 N 0.2500 0.2500 0.0000
12 N 0.7500 0.7500 0.0000



# 2
Entry from Alexandria via LeMat-Bulk: a relaxed ThPaBiN2 crystal (PBE).

Unit cell a=7.0551 b=7.0551 c=7.0551 alpha=146.77 beta=146.77 gamma=47.70
Positions (direct):
1 Th 0.0000 0.0000 0.0000
2 Pa 0.3212 0.3212 0.0000
3 Bi 0.6638 0.6638 0.0000
4 N 0.4013 0.9013 0.5000
5 N 0.9013 0.4013 0.5000



# 3
Entry from Alexandria via LeMat-Bulk: a relaxed PaTiBi2N crystal (PBE).

Unit cell a=3.9521 b=3.9521 c=14.3403 alpha=90.00 beta=90.00 gamma=90.00
Positions (direct):
1 Pa 0.2500 0.2500 0.0809
2 Pa 0.7500 0.7500 0.9191
3 Ti 0.2500 0.2500 0.5727
4 Ti 0.7500 0.7500 0.4273
5 Bi 0.2500 0.2500 0.3694
6 Bi 0.2500 0.2500 0.7848
7 Bi 0.7500 0.7500 0.2152
8 Bi 0.7500 0.7500 0.6306
9 N 0.2500 0.7500 0.0000
10 N 0.7500 0.2500 0.0000



# 4
Entry from Alexandria via LeMat-Bulk: a relaxed TmPaBi2N crystal (PBE).

Unit cell a=4.1328 b=4.1328 c=14.7434 alpha=90.00 beta=90.00 gamma=90.00
Positions (direct):
1 Tm 0.2500 0.2500 0.0822
2 Tm 0.7500 0.7500 0.9178
3 Pa 0.2500 0.2500 0.5729
4 Pa 0.7500 0.7500 0.4271
5 Bi 0.2500 0.2500 0.3003
6 Bi 0.2500 0.2500 0.8605
7 Bi 0.7500 0.7500 0.1395
8 Bi 0.7500 0.7500 0.6997
9 N 0.2500 0.7500 0.5000
10 N 0.7500 0.2500 0.5000



# 5
Entry from Alexandria via LeMat-Bulk: a relaxed UPaBiN2 crystal (PBE).

Unit cell a=6.9056 b=6.9056 c=6.9056 alpha=146.81 beta=146.81 gamma=47.64
Positions (direct):
1 U 0.0000 0.0000 0.0000
2 Pa 0.3200 0.3200 0.0000
3 Bi 0.6593 0.6593 0.0000
4 N 0.4092 0.9092 0.5000
5 N 0.9092 0.4092 0.5000



# 6
Entry from Alexandria via LeMat-Bulk: a relaxed YPaBi2N crystal (PBE).

Unit cell a=4.1544 b=4.1544 c=14.8477 alpha=90.00 beta=90.00 gamma=90.00
Positions (direct):
1 Y 0.2500 0.2500 0.0844
2 Y 0.7500 0.7500 0.9156
3 Pa 0.2500 0.2500 0.5717
4 Pa 0.7500 0.7500 0.4283
5 Bi 0.2500 0.2500 0.3028
6 Bi 0.2500 0.2500 0.8585
7 Bi 0.7500 0.7500 0.1415
8 Bi 0.7500 0.7500 0.6972
9 N 0.2500 0.7500 0.5000
10 N 0.7500 0.2500 0.5000



# 7
Entry from Alexandria via LeMat-Bulk: a relaxed PaZnBi2N crystal (PBE).

Unit cell a=4.0289 b=4.0289 c=15.0021 alpha=90.00 beta=90.00 gamma=90.00
Positions (direct):
1 Pa 0.2500 0.2500 0.0755
2 Pa 0.7500 0.7500 0.9245
3 Zn 0.2500 0.2500 0.6219
4 Zn 0.7500 0.7500 0.3781
5 Bi 0.2500 0.2500 0.4281
6 Bi 0.2500 0.2500 0.8022
7 Bi 0.7500 0.7500 0.1978
8 Bi 0.7500 0.7500 0.5719
9 N 0.2500 0.7500 0.0000
10 N 0.7500 0.2500 0.0000



# 8
Entry from Alexandria via LeMat-Bulk: a relaxed ZrPaBi2N crystal (PBE).

Unit cell a=4.0110 b=4.0110 c=14.5477 alpha=90.00 beta=90.00 gamma=90.00
Positions (direct):
1 Zr 0.2500 0.2500 0.0706
2 Zr 0.7500 0.7500 0.9294
3 Pa 0.2500 0.2500 0.5780
4 Pa 0.7500 0.7500 0.4220
5 Bi 0.2500 0.2500 0.2911
6 Bi 0.2500 0.2500 0.8579
7 Bi 0.7500 0.7500 0.1421
8 Bi 0.7500 0.7500 0.7089
9 N 0.2500 0.7500 0.5000
10 N 0.7500 0.2500 0.5000



# 9
Entry from Alexandria via LeMat-Bulk: a relaxed BiPbN2 crystal (PBE).

Unit cell a=6.7236 b=6.7236 c=6.7236 alpha=131.16 beta=131.16 gamma=71.56
Positions (direct):
1 Bi 0.0000 0.0000 0.0000
2 Bi 0.7500 0.2500 0.5000
3 Pb 0.2500 0.7500 0.5000
4 Pb 0.5000 0.5000 0.0000
5 N 0.1283 0.6250 0.0033
6 N 0.3750 0.3783 0.5033
7 N 0.6217 0.1250 0.9967
8 N 0.8750 0.8717 0.4967



# 10
Entry from Alexandria via LeMat-Bulk: a relaxed BiPbN2 crystal (PBE).

Unit cell a=7.6153 b=7.6153 c=7.6153 alpha=26.20 beta=26.20 gamma=26.20
Positions (direct):
1 Bi 0.0000 0.0000 0.0000
2 Pb 0.5000 0.5000 0.5000
3 N 0.3871 0.3871 0.3871
4 N 0.6129 0.6129 0.6129



# 11
Entry from Alexandria via LeMat-Bulk: a relaxed BiPb3N crystal (PBE).

Unit cell a=6.0187 b=6.0187 c=6.0187 alpha=90.00 beta=90.00 gamma=90.00
Positions (direct):
1 Bi 0.0000 0.0000 0.0000
2 Pb 0.0000 0.0000 0.5000
3 Pb 0.0000 0.5000 0.0000
4 Pb 0.5000 0.0000 0.0000
5 N 0.5000 0.5000 0.5000



# 12
Entry from Alexandria via LeMat-Bulk: a relaxed Bi3PbN crystal (PBE).

Unit cell a=5.0692 b=5.0692 c=5.0692 alpha=90.00 beta=90.00 gamma=90.00
Positions (direct):
1 Bi 0.0000 0.0000 0.5000
2 Bi 0.0000 0.5000 0.0000
3 Bi 0.5000 0.0000 0.0000
4 Pb 0.5000 0.5000 0.5000
5 N 0.0000 0.0000 0.0000



# 13
Entry from Alexandria via LeMat-Bulk: a relaxed Bi3PbN crystal (PBE).

Unit cell a=5.9019 b=5.9019 c=5.9019 alpha=90.00 beta=90.00 gamma=90.00
Positions (direct):
1 Bi 0.0000 0.0000 0.5000
2 Bi 0.0000 0.5000 0.0000
3 Bi 0.5000 0.0000 0.0000
4 Pb 0.0000 0.0000 0.0000
5 N 0.5000 0.5000 0.5000



no.,total magnetization (μB per formula unit),formation energy without anion corrections (meV per atom)
1,1.02,-940.1
2,0.00,-1518.3
3,0.00,-737.4
4,0.00,-877.1
5,2.01,-1260.1
6,0.00,-896.3
7,0.00,-592.0
8,0.00,-843.1
9,0.00,851.4
10,0.00,897.5
11,0.00,1778.9
12,0.00,462.9
13,0.00,2069.9